Record 1
A plane-wave DFT calculation with GGA-PBE was carried out for a geometry-optimized TiNiB2 structure.

Computed properties:
Density of states at the Fermi level ... 3.284 states/eV/f.u.
Symmetry ... No. 225
Energy of formation from the pure elements ... 0.06 eV/atom

Structure (POSCAR):
```
TiNiB2
1.0
3.024 -0.878 2.058
0.033 -3.159 2.042
2.199 -2.876 -1.020
Ni B Ti
1 2 1
Direct
0.500 0.500 0.500
0.250 0.250 0.250
0.750 0.750 0.750
0.000 0.000 0.000
```

Record 2
A plane-wave DFT calculation with GGA-PBE was carried out for a geometry-optimized TiNiB4 structure.

Computed properties:
Density of states at the Fermi level ... 1.985 states/eV/f.u.
Symmetry ... No. 55
Energy of formation from the pure elements ... -0.45 eV/atom

Structure (POSCAR):
```
TiNiB4
1.0
-2.475 1.918 0.096
-2.212 -3.069 4.285
5.278 6.446 7.341
Ti Ni B
4 4 16
Direct
0.000 0.627 0.348
0.000 0.373 0.652
0.000 0.127 0.152
0.000 0.873 0.848
0.000 0.635 0.090
0.000 0.365 0.910
0.000 0.135 0.410
0.000 0.865 0.590
0.500 0.794 0.187
0.500 0.206 0.813
0.500 0.294 0.313
0.500 0.706 0.687
0.500 0.869 0.032
0.500 0.131 0.968
0.500 0.369 0.468
0.500 0.631 0.532
0.500 0.880 0.449
0.500 0.120 0.551
0.500 0.380 0.051
0.500 0.620 0.949
0.500 0.978 0.304
0.500 0.022 0.696
0.500 0.478 0.196
0.500 0.522 0.804
```

Record 3
A plane-wave DFT calculation with GGA-PBE was carried out for a geometry-optimized TiNi3B structure.

Computed properties:
Density of states at the Fermi level ... 7.484 states/eV/f.u.
Symmetry ... No. 221
Energy of formation from the pure elements ... -0.22 eV/atom

Structure (POSCAR):
```
TiNi3B
1.0
-1.528 2.315 -2.667
-3.441 -0.323 1.691
0.793 3.057 2.199
Ni B Ti
3 1 1
Direct
0.000 0.500 0.000
0.000 0.000 0.500
0.500 0.000 0.000
0.000 0.000 0.000
0.500 0.500 0.500
```

Record 4
A plane-wave DFT calculation with GGA-PBE was carried out for a geometry-optimized Ti2NiB structure.

Computed properties:
Density of states at the Fermi level ... 4.498 states/eV/f.u.
Symmetry ... No. 123
Energy of formation from the pure elements ... -0.20 eV/atom

Structure (POSCAR):
```
Ti2NiB
1.0
3.191 0.000 0.000
0.000 3.917 0.000
0.000 0.000 3.917
Ni B Ti
1 1 2
Direct
0.500 0.500 0.500
0.500 0.000 0.000
0.000 0.000 0.500
0.000 0.500 0.000
```

no.,energy (eV per atom)
1,-6.70
2,-7.18
3,-6.60
4,-7.26